Record 1
Here is an optimized crystal structure of CaDyZnAg from Alexandria. Energies are from PBE-GGA.

```
4
Lattice="-2.181 -3.997 -2.381 0.790 -4.770 1.739 -3.823 -2.572 2.275" Properties=species:S:1:pos:R:3 pbc="T T T"
Ca -2.607 -5.670 0.817
Dy 0.000 0.000 0.000
Ag -3.911 -8.505 1.225
Zn -1.304 -2.835 0.408
```

Results
Size of the total moment = 0.00 μB per formula unit
Fermi-level density of states = 2.91 states/eV/cell
Energy above the most stable polymorph in this dataset = 0.0265 eV per atom

Record 2
Here is an optimized crystal structure of Ca2ErAg from Alexandria. Energies are from PBE-GGA.

```
4
Lattice="3.634 0.000 0.000 1.817 3.147 0.000 1.817 1.049 11.415" Properties=species:S:1:pos:R:3 pbc="T T T"
Er 0.000 0.000 0.000
Ca 1.817 1.049 7.977
Ca 5.451 3.147 3.438
Ag 3.634 2.098 5.707
```

Results
Size of the total moment = 0.44 μB per formula unit
Fermi-level density of states = 3.97 states/eV/cell
Energy above the most stable polymorph in this dataset = 0.2298 eV per atom

Record 3
Here is an optimized crystal structure of Ca2ErAg from Alexandria. Energies are from PBE-GGA.

```
4
Lattice="-1.961 -0.039 2.985 -2.199 -2.396 -1.477 5.439 -7.137 3.479" Properties=species:S:1:pos:R:3 pbc="T T T"
Ca 4.319 -5.667 2.762
Ca 1.121 -1.470 0.717
Ag -2.080 -1.218 0.754
Er 0.639 -4.786 2.494
```

Results
Size of the total moment = 0.39 μB per formula unit
Fermi-level density of states = 5.98 states/eV/cell
Energy above the most stable polymorph in this dataset = 0.0000 eV per atom

Record 4
Here is an optimized crystal structure of Ca2ErAg from Alexandria. Energies are from PBE-GGA.

```
4
Lattice="3.739 0.000 0.000 1.869 3.238 0.000 1.869 1.079 10.531" Properties=species:S:1:pos:R:3 pbc="T T T"
Ag 3.739 2.159 0.008
Ca 1.869 1.079 8.276
Ca 1.869 1.079 2.258
Er 3.739 2.159 5.255
```

Results
Size of the total moment = 0.58 μB per formula unit
Fermi-level density of states = 3.75 states/eV/cell
Energy above the most stable polymorph in this dataset = 0.0692 eV per atom

Record 5
Here is an optimized crystal structure of CaErAg4 from Alexandria. Energies are from PBE-GGA.

```
6
Lattice="-2.579 2.545 -0.874 -1.224 -4.726 -2.194 -6.064 -2.004 4.087" Properties=species:S:1:pos:R:3 pbc="T T T"
Ag -7.165 -5.555 0.959
Ag -3.903 -3.317 -2.139
Ag -4.776 -0.918 -0.537
Ag -5.068 -3.227 1.550
Ca -4.244 -5.708 -0.153
Er -7.954 -3.075 2.551
```

Results
Size of the total moment = 0.00 μB per formula unit
Fermi-level density of states = 2.72 states/eV/cell
Energy above the most stable polymorph in this dataset = 0.0000 eV per atom

Record 6
Here is an optimized crystal structure of CaErAg from Alexandria. Energies are from PBE-GGA.

```
3
Lattice="3.941 0.000 0.000 0.000 5.049 0.000 0.000 -2.524 4.373" Properties=species:S:1:pos:R:3 pbc="T T T"
Ag 1.036 0.000 2.915
Ca 2.480 2.524 1.458
Er 0.426 0.000 0.000
```

Results
Size of the total moment = 0.00 μB per formula unit
Fermi-level density of states = 2.81 states/eV/cell
Energy above the most stable polymorph in this dataset = 0.1993 eV per atom